# 1
{"formula": "FeRuSe2", "functional": "PBE-GGA", "state": "optimized geometry", "lattice": [[-3.297, -0.680, 1.700], [-0.417, -3.707, -2.292], [1.939, -2.998, 2.563]], "species": ["Fe", "Ru", "Se", "Se"], "fractional_positions": [[0.500, 0.250, 0.250], [0.500, 0.750, 0.750], [0.000, 0.986, 0.988], [0.000, 0.514, 0.512]], "raw_formation_energy_mev_per_atom": 417.5, "de_polymorph_kcal_per_mol_atoms": 14.80, "total_energy_ev_per_atom": -5.759, "m_tot_mub_per_cell": 4.0}

***

# 2
{"formula": "ScMoAsSe2", "functional": "PBE-GGA", "state": "optimized geometry", "lattice": [[-3.341, 0.556, 3.761], [2.826, -2.985, 2.952], [2.569, 4.091, 1.678]], "species": ["Sc", "Mo", "As", "Se", "Se"], "fractional_positions": [[0.000, 0.000, 0.000], [0.500, 0.500, 0.500], [0.000, 0.000, 0.500], [0.000, 0.500, 0.000], [0.500, 0.000, 0.000]], "raw_formation_energy_mev_per_atom": 423.6, "de_polymorph_kcal_per_mol_atoms": 8.68, "total_energy_ev_per_atom": -5.333, "m_tot_mub_per_cell": 3.1}

***

# 3
{"formula": "NbIF3", "functional": "PBE-GGA", "state": "optimized geometry", "lattice": [[4.329, 0.000, 0.000], [0.000, 4.329, 0.000], [0.000, 0.000, 4.329]], "species": ["I", "Nb", "F", "F", "F"], "fractional_positions": [[0.500, 0.500, 0.500], [0.000, 0.000, 0.000], [0.000, 0.500, 0.000], [0.000, 0.000, 0.500], [0.500, 0.000, 0.000]], "raw_formation_energy_mev_per_atom": -1695.7, "de_polymorph_kcal_per_mol_atoms": 10.41, "total_energy_ev_per_atom": -5.142, "m_tot_mub_per_cell": 1.0}

***

# 4
{"formula": "CaHO2", "functional": "PBE-GGA", "state": "optimized geometry", "lattice": [[-3.757, -4.813, 1.329], [4.729, -3.221, 1.706], [-2.016, 2.838, 4.580]], "species": ["Ca", "Ca", "Ca", "Ca", "H", "H", "H", "H", "O", "O", "O", "O", "O", "O", "O", "O"], "fractional_positions": [[0.157, 0.273, 0.043], [0.343, 0.773, 0.543], [0.843, 0.727, 0.957], [0.657, 0.227, 0.457], [0.684, 0.184, 0.948], [0.184, 0.316, 0.552], [0.316, 0.816, 0.052], [0.816, 0.684, 0.448], [0.441, 0.175, 0.767], [0.202, 0.850, 0.949], [0.941, 0.325, 0.733], [0.559, 0.825, 0.233], [0.798, 0.150, 0.051], [0.702, 0.650, 0.551], [0.298, 0.350, 0.449], [0.059, 0.675, 0.267]], "total_energy_ev_per_atom": -5.467, "m_tot_mub_per_cell": 4.0}

***

# 5
{"formula": "MgCo2Te", "functional": "PBE-GGA", "state": "optimized geometry", "lattice": [[-6.642, 0.130, 2.070], [1.743, -3.419, 5.805], [-1.987, 0.849, 5.267]], "species": ["Mg", "Mg", "Te", "Te", "Co", "Co", "Co", "Co"], "fractional_positions": [[0.500, 0.500, 0.000], [0.250, 0.750, 0.500], [0.000, 0.000, 0.000], [0.750, 0.250, 0.500], [0.659, 0.125, 0.250], [0.091, 0.625, 0.250], [0.375, 0.341, 0.750], [0.875, 0.909, 0.750]], "raw_formation_energy_mev_per_atom": 490.7, "de_polymorph_kcal_per_mol_atoms": 9.61, "total_energy_ev_per_atom": -4.246, "m_tot_mub_per_cell": 0.0}

***

# 6
{"formula": "CrOs2C", "functional": "PBE-GGA", "state": "optimized geometry", "lattice": [[-4.411, -1.566, 1.688], [0.446, -4.160, -2.693], [0.238, -5.061, 3.260]], "species": ["Cr", "Cr", "C", "C", "Os", "Os", "Os", "Os"], "fractional_positions": [[0.000, 0.000, 0.000], [0.750, 0.250, 0.500], [0.500, 0.500, 0.000], [0.250, 0.750, 0.500], [0.565, 0.125, 0.250], [0.185, 0.625, 0.250], [0.375, 0.435, 0.750], [0.875, 0.815, 0.750]], "formation_energy_kj_per_mol_atoms": 85, "total_energy_ev_per_atom": -9.445, "m_tot_mub_per_cell": 0.0}

***

# 7
{"formula": "Rb2CaAu2I6", "functional": "PBE-GGA", "state": "optimized geometry", "lattice": [[-7.416, -1.514, 4.262], [3.844, -6.466, -4.460], [3.723, 2.635, 7.414]], "species": ["Rb", "Rb", "Ca", "Au", "Au", "I", "I", "I", "I", "I", "I"], "fractional_positions": [[0.749, 0.499, 0.227], [0.251, 0.501, 0.773], [0.500, 0.000, 0.500], [0.953, 0.905, 0.792], [0.047, 0.095, 0.208], [0.741, 0.481, 0.641], [0.198, 0.876, 0.187], [0.322, 0.124, 0.813], [0.802, 0.124, 0.813], [0.678, 0.876, 0.187], [0.259, 0.519, 0.359]], "raw_formation_energy_mev_per_atom": -940.2, "total_energy_ev_per_atom": -2.739, "m_tot_mub_per_cell": 0.0}

***

# 8
{"formula": "Ho2CdTcC", "functional": "PBE-GGA", "state": "optimized geometry", "lattice": [[4.007, 0.000, 0.000], [0.000, 4.968, 0.000], [0.000, 0.000, 4.968]], "species": ["Ho", "Ho", "Cd", "Tc", "C"], "fractional_positions": [[0.000, 0.000, 0.500], [0.000, 0.500, 0.000], [0.500, 0.500, 0.500], [0.500, 0.000, 0.000], [0.000, 0.000, 0.000]], "formation_energy_kj_per_mol_atoms": -31, "total_energy_ev_per_atom": -6.256, "m_tot_mub_per_cell": 0.0}

***

# 9
{"formula": "SeI3N", "functional": "PBE-GGA", "state": "optimized geometry", "lattice": [[3.990, 7.695, 0.866], [-3.990, 7.695, 0.866], [0.000, 3.697, 7.153]], "species": ["Se", "Se", "I", "I", "I", "I", "I", "I", "N", "N"], "fractional_positions": [[0.642, 0.358, 0.500], [0.358, 0.642, 0.500], [0.900, 0.900, 0.172], [0.100, 0.100, 0.828], [0.665, 0.665, 0.609], [0.649, 0.649, 0.047], [0.335, 0.335, 0.391], [0.351, 0.351, 0.953], [0.744, 0.744, 0.744], [0.256, 0.256, 0.256]], "raw_formation_energy_mev_per_atom": 704.6, "de_polymorph_kcal_per_mol_atoms": 0.00, "total_energy_ev_per_atom": -2.587, "m_tot_mub_per_cell": 0.0}

***

# 10
{"formula": "LaTc2Rh", "functional": "PBE-GGA", "state": "optimized geometry", "lattice": [[-2.247, 0.239, -4.457], [2.896, -1.995, -1.568], [-1.854, -3.288, 0.758]], "species": ["La", "Rh", "Tc", "Tc"], "fractional_positions": [[0.500, 0.500, 0.000], [0.500, 0.000, 0.500], [0.000, 0.000, 0.000], [0.000, 0.500, 0.500]], "formation_energy_kj_per_mol_atoms": 31, "de_polymorph_kcal_per_mol_atoms": 6.09, "total_energy_ev_per_atom": -7.933, "m_tot_mub_per_cell": 0.0}

***

# 11
{"formula": "Y6TlTe3P2", "functional": "PBE-GGA", "state": "optimized geometry", "lattice": [[4.171, 0.000, 0.000], [0.000, 8.706, 0.249], [-2.086, -2.571, 8.975]], "species": ["Y", "Y", "Y", "Y", "Y", "Y", "Tl", "Te", "Te", "Te", "P", "P"], "fractional_positions": [[0.332, 0.886, 0.665], [0.676, 0.563, 0.352], [0.668, 0.114, 0.335], [0.012, 0.254, 0.024], [0.988, 0.746, 0.976], [0.324, 0.437, 0.648], [0.500, 0.000, 0.000], [0.500, 0.500, 0.000], [0.836, 0.169, 0.672], [0.164, 0.831, 0.328], [0.831, 0.661, 0.661], [0.169, 0.339, 0.339]], "raw_formation_energy_mev_per_atom": -1302.1, "total_energy_ev_per_atom": -6.418, "m_tot_mub_per_cell": 0.0}

***

# 12
{"formula": "K2CaMoCl", "functional": "PBE-GGA", "state": "optimized geometry", "lattice": [[7.529, 0.000, 0.000], [0.000, 5.109, 0.000], [0.000, 0.000, 7.529]], "species": ["K", "K", "Mo", "Ca", "Cl"], "fractional_positions": [[0.000, 0.000, 0.500], [0.500, 0.000, 0.000], [0.500, 0.500, 0.500], [0.000, 0.000, 0.000], [0.000, 0.500, 0.000]], "raw_formation_energy_mev_per_atom": 632.6, "total_energy_ev_per_atom": -2.742, "m_tot_mub_per_cell": 5.2}